No. 1
Mg7Tl4Cd PBE-GGA optimized geometry; calculated total energy = -20.70 eV for the cell shown; energy relative to the elements = 0.070 eV per atom; volume = 26.22 A^3/atom; crystal system = monoclinic; D(E_F) = 5.09 states/eV per cell
1.0
5.4399 0.0000 0.0000
2.7199 8.7829 -0.1575
2.7199 0.2245 6.5810
Mg Tl Cd
7 4 1
direct
0.7861 0.8931 0.5347 Mg
0.2139 0.1069 0.4653 Mg
0.0750 0.6778 0.1722 Mg
0.9250 0.3222 0.8278 Mg
0.3592 0.5548 0.7268 Mg
0.5000 0.0000 0.0000 Mg
0.6408 0.4452 0.2732 Mg
0.5801 0.2230 0.6168 Tl
0.4199 0.7770 0.3832 Tl
0.7240 0.6671 0.8850 Tl
0.2760 0.3329 0.1150 Tl
0.0000 0.0000 0.0000 Cd

No. 2
NbCoSn2 PBE-GGA optimized geometry; calculated total energy = -24.04 eV for the cell shown; energy relative to the elements = 0.286 eV per atom; volume = 18.20 A^3/atom; crystal system = cubic; excess energy over the best structure of this formula in the dataset = 0 meV per atom; D(E_F) = 6.72 states/eV per cell
1.0
0.0000 3.3140 3.3140
3.3140 0.0000 3.3140
3.3140 3.3140 0.0000
Nb Co Sn
1 1 2
direct
0.5000 0.5000 0.5000 Nb
0.0000 0.0000 0.0000 Co
0.2500 0.2500 0.2500 Sn
0.7500 0.7500 0.7500 Sn

No. 3
Cs2Tl9Hg4 PBE-GGA optimized geometry; calculated total energy = -25.51 eV for the cell shown; energy relative to the elements = -0.087 eV per atom; volume = 36.10 A^3/atom; crystal system = trigonal; D(E_F) = 7.01 states/eV per cell
1.0
-4.5477 0.5893 -2.8671
4.7095 -0.8041 -2.5345
-3.2058 -21.1215 0.7438
Cs Tl Hg
2 9 4
direct
0.3333 0.6667 0.7625 Cs
0.6667 0.3333 0.2375 Cs
0.0000 0.0000 0.3527 Tl
0.0000 0.0000 0.6473 Tl
0.0000 0.0000 0.9169 Tl
0.0000 0.0000 0.0831 Tl
0.3333 0.6667 0.5580 Tl
0.6667 0.3333 0.4420 Tl
0.6667 0.3333 0.0299 Tl
0.3333 0.6667 0.9701 Tl
0.0000 0.0000 0.5000 Tl
0.3333 0.6667 0.3869 Hg
0.6667 0.3333 0.6131 Hg
0.6667 0.3333 0.8682 Hg
0.3333 0.6667 0.1318 Hg

No. 4
Bi2As2H PBE-GGA optimized geometry; calculated total energy = -17.56 eV for the cell shown; volume = 30.34 A^3/atom; crystal system = tetragonal; D(E_F) = 1.81 states/eV per cell
1.0
4.7296 0.0000 0.0000
0.0000 4.7296 0.0000
2.3648 2.3648 6.7807
H As Bi
1 2 2
direct
0.0000 0.0000 0.0000 H
0.7500 0.2500 0.5000 As
0.2500 0.7500 0.5000 As
0.3707 0.3707 0.2587 Bi
0.6293 0.6293 0.7413 Bi

No. 5
CuTe2W PBE-GGA optimized geometry; calculated total energy = -42.11 eV for the cell shown; volume = 27.64 A^3/atom; crystal system = tetragonal; excess energy over the best structure of this formula in the dataset = 284 meV per atom; D(E_F) = 11.83 states/eV per cell
1.0
-0.8140 5.8393 -1.6292
-6.0397 -0.6394 0.7261
-2.9217 4.2475 5.2012
Te Cu W
4 2 2
direct
0.6163 0.1250 0.2500 Te
0.1336 0.6250 0.2500 Te
0.3750 0.3836 0.7500 Te
0.8750 0.8664 0.7500 Te
0.5000 0.5000 0.0000 Cu
0.2500 0.7500 0.5000 Cu
0.0000 0.0000 0.0000 W
0.7500 0.2500 0.5000 W

No. 6
BaHg2Se PBE-GGA optimized geometry; calculated total energy = -9.43 eV for the cell shown; volume = 34.25 A^3/atom; crystal system = orthorhombic; D(E_F) = 0.48 states/eV per cell
1.0
6.3774 0.0000 0.0000
0.0000 4.6346 0.0026
0.0000 0.1023 4.6353
Ba Hg Se
1 2 1
direct
0.5000 0.7500 0.7500 Ba
0.0000 0.0162 0.0162 Hg
0.0000 0.4838 0.4838 Hg
0.5000 0.2500 0.2500 Se

What did the second record say?
NbCoSn2 PBE-GGA optimized geometry; calculated total energy = -24.04 eV for the cell shown; energy relative to the elements = 0.286 eV per atom; volume = 18.20 A^3/atom; crystal system = cubic; excess energy over the best structure of this formula in the dataset = 0 meV per atom; D(E_F) = 6.72 states/eV per cell
1.0
0.0000 3.3140 3.3140
3.3140 0.0000 3.3140
3.3140 3.3140 0.0000
Nb Co Sn
1 1 2
direct
0.5000 0.5000 0.5000 Nb
0.0000 0.0000 0.0000 Co
0.2500 0.2500 0.2500 Sn
0.7500 0.7500 0.7500 Sn

Which of these has the lowest volume? NbCoSn2

Which of these has the highest D(E_F)? CuTe2W